DFT (GGA-PBE) results for an optimized crystal structure of NdGd2Er.

abc: 3.5917 3.5917 10.1286
angles: 90.00 90.00 90.00
Atoms (fractional coordinates):
Gd 0.0000 0.0000 0.7555
Gd 0.0000 0.0000 0.2445
Nd 0.5000 0.5000 0.5000
Er 0.5000 0.5000 0.0000

Calculated values
V, Å³ per atom: 32.67
E_tot, eV per atom: -9.346
ΔH_f (0 K), eV/atom: 0.03
Crystal system: tetragonal